A relaxed structure of ZrAgSeN2, computed with PBE.

Calculated values
Formation energy from raw total energies, eV per atom: 0.4321
Magnetic moment, μB per atom: 0.0003
N(E_F), states/eV/cell: 4.50
ΔE to the lowest computed polymorph, meV per atom: 0.0

abc: 4.112 4.112 5.832
angles: 90.00 90.00 90.00
Space group P4/mmm (No. 123)
Inequivalent atoms, fractional coordinates:
Zr 0.000 0.000 0.000 (multiplicity 1)
Ag 0.500 0.500 0.500 (multiplicity 1)
Se 0.000 0.000 0.500 (multiplicity 1)
N 0.000 0.500 0.000 (multiplicity 2)

=====

A relaxed structure of Li3Co2H7, computed with PBE.

Calculated values
Magnetic moment, μB per atom: 0.0001
Final energy, eV/f.u.: -46.30
N(E_F), states/eV/cell: 6.06

abc: 3.213 16.787 3.151
angles: 90.00 90.00 90.00
Space group Cmmm (No. 65)
Inequivalent atoms, fractional coordinates:
Li 0.000 0.000 0.000 (multiplicity 2)
Li 0.000 0.174 0.000 (multiplicity 4)
Co 0.000 0.403 0.500 (multiplicity 4)
H 0.000 0.095 0.500 (multiplicity 4)
H 0.000 0.309 0.500 (multiplicity 4)
H 0.000 0.411 0.000 (multiplicity 4)
H 0.000 0.500 0.500 (multiplicity 2)

=====

A relaxed structure of Sc6Al5Pt, computed with PBE.

Calculated values
Magnetic moment, μB per atom: 0.0000
Formation enthalpy at 0 K, eV/atom: -0.560
N(E_F), states/eV/cell: 14.85

abc: 4.801 14.434 6.610
angles: 90.00 90.00 90.00
Space group Cmmm (No. 65)
Inequivalent atoms, fractional coordinates:
Sc 0.000 0.000 0.246 (multiplicity 4)
Sc 0.000 0.336 0.248 (multiplicity 8)
Al 0.000 0.169 0.000 (multiplicity 4)
Al 0.000 0.170 0.500 (multiplicity 4)
Al 0.000 0.500 0.500 (multiplicity 2)
Pt 0.000 0.500 0.000 (multiplicity 2)